1.
DFT (PBE) results for crystalline ZrMo2Ru at its relaxed geometry.

## Properties
For the final energy, the calculation gives -39.53 eV per cell. The formation enthalpy at 0 K comes out at -0.01 eV per atom. The space-group type is No. 6. Its crystal system is monoclinic.

a = 4.4230 Å, b = 2.8728 Å, c = 5.3346 Å
α = 79.99°, β = 90.00°, γ = 90.00°
Fractional coordinates of all 4 atoms:
1 Mo 0.0000 0.0145 0.0173
2 Mo 0.5000 0.2344 0.2410
3 Ru 0.0000 0.4984 0.4989
4 Zr 0.5000 0.7527 0.7427

***

2.
DFT (PBE) results for crystalline LaP2Pt at its relaxed geometry.

## Properties
For the final energy, the calculation gives -22.86 eV per cell. The formation enthalpy at 0 K comes out at -0.27 eV per atom. The space-group type is No. 216. Its crystal system is cubic.

a = 4.8315 Å, b = 4.8315 Å, c = 4.8315 Å
α = 60.00°, β = 60.00°, γ = 60.00°
Fractional coordinates of all 4 atoms:
1 La 0.5000 0.5000 0.5000
2 P 0.0000 0.0000 0.0000
3 P 0.2500 0.2500 0.2500
4 Pt 0.7500 0.7500 0.7500

***

3.
DFT (PBE) results for crystalline La2Pm3Si2 at its relaxed geometry.

## Properties
For the final energy, the calculation gives -37.95 eV per cell. The space-group type is No. 12. Its crystal system is monoclinic. The value obtained for the raw formation energy is -429 meV per atom.

a = 4.3003 Å, b = 6.4265 Å, c = 8.6180 Å
α = 110.23°, β = 90.00°, γ = 109.55°
Fractional coordinates of all 7 atoms:
1 La 0.8462 0.6924 0.1878
2 La 0.1538 0.3076 0.8122
3 Pm 0.5000 0.0000 0.0000
4 Pm 0.6312 0.2623 0.4451
5 Pm 0.3688 0.7377 0.5549
6 Si 0.8343 0.6687 0.7899
7 Si 0.1657 0.3313 0.2101

***

4.
DFT (PBE) results for crystalline Li2YMn at its relaxed geometry.

## Properties
For the final energy, the calculation gives -18.48 eV per cell. The formation enthalpy at 0 K comes out at 0.25 eV per atom. The space-group type is No. 12. Its crystal system is monoclinic.

a = 5.8651 Å, b = 5.8651 Å, c = 4.8021 Å
α = 65.54°, β = 65.54°, γ = 33.60°
Fractional coordinates of all 4 atoms:
1 Li 0.0251 0.0251 0.9755
2 Li 0.4749 0.4749 0.5245
3 Mn 0.7500 0.7500 0.7500
4 Y 0.2500 0.2500 0.2500

***

5.
DFT (PBE) results for crystalline Mg2AlIn at its relaxed geometry.

## Properties
For the final energy, the calculation gives -9.28 eV per cell. The formation enthalpy at 0 K comes out at 0.10 eV per atom. The space-group type is No. 35. Its crystal system is orthorhombic.

a = 3.1225 Å, b = 3.1225 Å, c = 9.7501 Å
α = 90.00°, β = 90.00°, γ = 109.71°
Fractional coordinates of all 4 atoms:
1 Al 0.0000 0.0000 0.4930
2 In 0.5000 0.5000 0.7434
3 Mg 0.0000 0.0000 0.0053
4 Mg 0.5000 0.5000 0.2583

***

6.
DFT (PBE) results for crystalline Tl2MoRu at its relaxed geometry.

## Properties
For the final energy, the calculation gives -21.70 eV per cell. The formation enthalpy at 0 K comes out at 0.78 eV per atom. The space-group type is No. 166. Its crystal system is trigonal.

a = 9.2254 Å, b = 9.2254 Å, c = 9.2254 Å
α = 19.42°, β = 19.42°, γ = 19.42°
Fractional coordinates of all 4 atoms:
1 Mo 0.7500 0.7500 0.7500
2 Ru 0.2500 0.2500 0.2500
3 Tl 0.9970 0.9970 0.9970
4 Tl 0.5030 0.5030 0.5030

***

7.
DFT (PBE) results for crystalline La5CdAg2 at its relaxed geometry.

## Properties
For the final energy, the calculation gives -65.44 eV per cell. The formation enthalpy at 0 K comes out at -0.18 eV per atom. The space-group type is No. 140. Its crystal system is tetragonal.

a = 8.6490 Å, b = 8.6490 Å, c = 9.0170 Å
α = 118.66°, β = 118.66°, γ = 90.00°
Fractional coordinates of all 16 atoms:
1 La 0.5084 0.6911 0.6995
2 La 0.8089 0.9916 0.3005
3 La 0.0000 0.0000 0.0000
4 La 0.5000 0.5000 0.0000
5 La 0.1911 0.0084 0.6995
6 La 0.6911 0.1911 0.6995
7 La 0.0084 0.5084 0.6995
8 La 0.3089 0.8089 0.3005
9 La 0.9916 0.4916 0.3005
10 La 0.4916 0.3089 0.3005
11 Cd 0.7500 0.7500 0.5000
12 Cd 0.2500 0.2500 0.5000
13 Ag 0.1291 0.3709 0.0000
14 Ag 0.6291 0.1291 0.0000
15 Ag 0.3708 0.8709 0.0000
16 Ag 0.8708 0.6292 0.0000

***

8.
DFT (PBE) results for crystalline LiSiHg2S4 at its relaxed geometry.

## Properties
For the final energy, the calculation gives -56.23 eV per cell. The space-group type is No. 31. Its crystal system is orthorhombic. The value obtained for the raw formation energy is -458 meV per atom.

a = 6.7339 Å, b = 7.2101 Å, c = 8.0014 Å
α = 90.00°, β = 90.00°, γ = 90.00°
Fractional coordinates of all 16 atoms:
1 Li 0.9918 0.1401 0.5000
2 Li 0.4918 0.8599 0.0000
3 Si 0.5010 0.8244 0.5000
4 Si 0.0010 0.1756 0.0000
5 Hg 0.5060 0.3227 0.2625
6 Hg 0.5060 0.3227 0.7375
7 Hg 0.0060 0.6773 0.7625
8 Hg 0.0060 0.6773 0.2375
9 S 0.3194 0.1612 0.0000
10 S 0.8194 0.8388 0.5000
11 S 0.3635 0.0925 0.5000
12 S 0.8635 0.9075 0.0000
13 S 0.4062 0.6861 0.7250
14 S 0.9062 0.3139 0.2250
15 S 0.9062 0.3139 0.7750
16 S 0.4062 0.6861 0.2750

***

9.
DFT (PBE) results for crystalline ZrNi2Rh2 at its relaxed geometry.

## Properties
For the final energy, the calculation gives -72.11 eV per cell. The formation enthalpy at 0 K comes out at -0.25 eV per atom. The space-group type is No. 127. Its crystal system is tetragonal.

a = 6.6507 Å, b = 6.6507 Å, c = 3.2783 Å
α = 90.00°, β = 90.00°, γ = 90.00°
Fractional coordinates of all 10 atoms:
1 Ni 0.3719 0.8719 0.0000
2 Ni 0.8719 0.6281 0.0000
3 Ni 0.6281 0.1281 0.0000
4 Ni 0.1281 0.3719 0.0000
5 Rh 0.1655 0.6655 0.5000
6 Rh 0.6655 0.8345 0.5000
7 Rh 0.8345 0.3345 0.5000
8 Rh 0.3345 0.1655 0.5000
9 Zr 0.0000 0.0000 0.0000
10 Zr 0.5000 0.5000 0.0000

***

10.
DFT (PBE) results for crystalline ScRhO3 at its relaxed geometry.

## Properties
For the final energy, the calculation gives -155.50 eV per cell. The space-group type is No. 62. Its crystal system is orthorhombic. The value obtained for the raw formation energy is -2064 meV per atom.

a = 5.1124 Å, b = 5.5168 Å, c = 7.6360 Å
α = 90.00°, β = 90.00°, γ = 90.00°
Fractional coordinates of all 20 atoms:
1 Sc 0.9623 0.0825 0.2500
2 Sc 0.4623 0.4175 0.7500
3 Sc 0.5377 0.5825 0.2500
4 Sc 0.0377 0.9175 0.7500
5 Rh 0.0000 0.5000 0.0000
6 Rh 0.5000 0.0000 0.0000
7 Rh 0.5000 0.0000 0.5000
8 Rh 0.0000 0.5000 0.5000
9 O 0.6779 0.3123 0.4196
10 O 0.1779 0.1877 0.5804
11 O 0.8221 0.8123 0.0804
12 O 0.3221 0.6877 0.9196
13 O 0.3221 0.6877 0.5804
14 O 0.8221 0.8123 0.4196
15 O 0.1779 0.1877 0.9196
16 O 0.6779 0.3123 0.0804
17 O 0.1552 0.4296 0.2500
18 O 0.6552 0.0704 0.7500
19 O 0.3448 0.9296 0.2500
20 O 0.8448 0.5704 0.7500

***

11.
DFT (PBE) results for crystalline ErTmZnIr at its relaxed geometry.

## Properties
For the final energy, the calculation gives -21.88 eV per cell. The formation enthalpy at 0 K comes out at -0.68 eV per atom. The space-group type is No. 216. Its crystal system is cubic.

a = 4.8693 Å, b = 4.8693 Å, c = 4.8693 Å
α = 60.00°, β = 60.00°, γ = 60.00°
Fractional coordinates of all 4 atoms:
1 Zn 0.0000 0.0000 0.0000
2 Ir 0.5000 0.5000 0.5000
3 Tm 0.2500 0.2500 0.2500
4 Er 0.7500 0.7500 0.7500